## InRe2NF (PBE-GGA)

Data for crystalline InRe2NF at its relaxed geometry.

Output
* total energy: -4.8738 eV per atom
* total magnetic moment: 8.55 μB per formula unit

Lattice parameters (Å, degrees): 5.3553 5.3553 4.1023 90.00 90.00 90.00
With the nearest neighbours (Å) after each atom.
Space group P4/mmm (No. 123)
Symmetry-distinct sites (fractional):
1 In 0.0000 0.0000 0.0000  2 N 2.05
2 Re 0.0000 0.5000 0.0000  2 In 2.68
3 N 0.0000 0.0000 0.5000  2 In 2.05
4 F 0.5000 0.5000 0.5000  8 Re 3.37